A relaxed structure of YHoBPb. Source: OQMD, functional PBE.

abc: 3.6875 3.6875 16.6573
angles: 90.00 90.00 120.00
Space group P-6m2 (No. 187)
Symmetry-distinct sites (fractional):
Y: 0.0000 0.0000 0.1603 x2
Ho: 0.6667 0.3333 0.3395 x2
B: 0.3333 0.6667 0.2510 x2
Pb: 0.0000 0.0000 0.5000 x1
Pb: 0.6667 0.3333 0.0000 x1

Output
Calculated total energy (eV/atom): -5.576
Calculated volume (Å³/f.u.): 98
Total moment (μB per atom): 0.0057